CaAgSeBr2 | PBE-GGA | optimized geometry

abc: 5.203 5.203 5.334
angles: 90.00 90.00 90.00
Sites, in units of the cell vectors:
Ca (0.500, 0.500, 0.500)
Se (0.000, 0.000, 0.500)
Br (0.000, 0.500, 0.000)
Br (0.500, 0.000, 0.000)
Ag (0.000, 0.000, 0.000)

Computed properties:
Offset from the most stable computed form in kJ/mol of formula units: 0
E_form (uncorrected) in eV per atom: -0.6579
Spin magnetization in μB per cell: 0.000
DOS at the Fermi energy in states/eV/atom: 0.46